[1]
A plane-wave DFT calculation with PBE-GGA was carried out for a relaxed LiCr3Cd crystal.

Calculated values
- offset from the most stable computed form (meV/atom) = 0
- spin magnetization (μB per formula unit) = 1.06
- raw total energy (eV for the cell shown) = -24.51
- theoretical density (Mg/m³) = 6.7
- space-group type = Pm-3m (221)
- Fermi-level density of states (states/eV/atom) = 0.805
- E_form (eV per atom) = 1.439

Geometry as POSCAR:
```
LiCr3Cd
1.0
4.083 0.000 0.000
0.000 4.083 0.000
0.000 0.000 4.083
Cr Li Cd
3 1 1
Direct
0.000 0.500 0.000 Cr
0.000 0.000 0.500 Cr
0.500 0.000 0.000 Cr
0.000 0.000 0.000 Li
0.500 0.500 0.500 Cd
```

=====

[2]
A plane-wave DFT calculation with PBE-GGA was carried out for a relaxed LiCrCd crystal.

Calculated values
- offset from the most stable computed form (meV/atom) = 8
- spin magnetization (μB per formula unit) = 4.20
- raw total energy (eV for the cell shown) = -11.52
- theoretical density (Mg/m³) = 5.3
- space-group type = P3m1 (156)
- Fermi-level density of states (states/eV/atom) = 0.663
- E_form (eV per atom) = 0.311

Geometry as POSCAR:
```
LiCrCd
1.0
4.619 0.000 0.000
-2.309 4.000 0.000
0.000 0.000 2.913
Cd Cr Li
1 1 1
Direct
0.000 0.000 0.962 Cd
0.667 0.333 0.393 Cr
0.333 0.667 0.645 Li
```

=====

[3]
A plane-wave DFT calculation with PBE-GGA was carried out for a relaxed LiCr2Cd crystal.

Calculated values
- spin magnetization (μB per formula unit) = 0.00
- raw total energy (eV for the cell shown) = -20.27
- theoretical density (Mg/m³) = 6.5
- space-group type = C2/m (12)
- Fermi-level density of states (states/eV/atom) = 0.472
- E_form (eV per atom) = 0.451

Geometry as POSCAR:
```
LiCr2Cd
1.0
5.201 -0.006 0.017
4.312 2.909 0.017
1.339 0.409 3.754
Cd Cr Li
1 2 1
Direct
0.250 0.250 0.250 Cd
0.004 0.004 0.938 Cr
0.496 0.496 0.562 Cr
0.750 0.750 0.750 Li
```

=====

[4]
A plane-wave DFT calculation with PBE-GGA was carried out for a relaxed LiCr2Cd crystal.

Calculated values
- spin magnetization (μB per formula unit) = 0.00
- raw total energy (eV for the cell shown) = -19.86
- theoretical density (Mg/m³) = 6.6
- space-group type = C2/m (12)
- Fermi-level density of states (states/eV/atom) = 0.912
- E_form (eV per atom) = 0.554

Geometry as POSCAR:
```
LiCr2Cd
1.0
4.628 -0.021 -0.080
-2.012 4.914 0.047
0.604 0.657 2.460
Cd Cr Li
1 2 1
Direct
0.500 0.500 0.000 Cd
0.000 0.000 0.000 Cr
0.500 0.000 0.500 Cr
0.000 0.500 0.500 Li
```